Record 1
Tc2GeH2 | GGA-PBEsol | optimized geometry

Output
Theoretical density: 9.51 Mg/m³
Final energy: -0.5023 Ry/atom

extended XYZ file:
```
5
Lattice="-0.525 -2.242 1.990 2.824 0.309 1.093 -2.836 4.377 1.855" Properties=species:S:1:pos:R:3 pbc="T T T"
H 0.568 1.859 2.244
H -1.106 0.584 2.693
Ge 0.000 0.000 0.000
Tc -1.201 2.427 2.417
Tc 0.663 0.016 2.520
```

Record 2
LiAl2Ag | GGA-PBEsol | optimized geometry

Output
DFT formation energy: -0.14 eV per atom
Energy relative to the lowest polymorph listed for this composition: 0.002 eV/atom
Theoretical density: 4.56 Mg/m³
Final energy: -0.2579 Ry/atom

extended XYZ file:
```
4
Lattice="-1.684 -3.511 2.108 2.518 -2.307 2.820 -0.794 0.201 4.352" Properties=species:S:1:pos:R:3 pbc="T T T"
Al 0.010 -1.404 2.320
Al 0.030 -4.213 6.960
Ag 0.000 0.000 0.000
Li 0.020 -2.809 4.640
```